# Al2GaNi3, relaxed, DFT PBE
data_Al2GaNi3
_cell_length_a 2.9351
_cell_length_b 2.9351
_cell_length_c 8.4830
_cell_angle_alpha 90.00
_cell_angle_beta 90.00
_cell_angle_gamma 90.00
_symmetry_space_group_name_H-M 'P 4/m m m'
_symmetry_Int_Tables_number 123
_symmetry_space_group_name_Hall '-P 4 2'
loop_
_atom_site_label
_atom_site_type_symbol
_atom_site_fract_x
_atom_site_fract_y
_atom_site_fract_z
_atom_site_occupancy
Al1 Al 0.0000 0.0000 0.1655 1
Ga1 Ga 0.0000 0.0000 0.5000 1
Ni1 Ni 0.5000 0.5000 0.0000 1
Ni2 Ni 0.5000 0.5000 0.3318 1
# final energy = -5.21 eV/atom
# total magnetization = 0.00 μB per formula unit
# density = 6.8 g cm⁻³

# Al6Ga2Ni, relaxed, DFT PBE
data_Al6Ga2Ni
_cell_length_a 13.0547
_cell_length_b 6.1038
_cell_length_c 4.1711
_cell_angle_alpha 90.00
_cell_angle_beta 107.12
_cell_angle_gamma 90.00
_symmetry_space_group_name_H-M 'C 1 2/m 1'
_symmetry_Int_Tables_number 12
loop_
_symmetry_equiv_pos_as_xyz
'x,y,z'
'-x,-y,-z'
'-x,y,-z'
'x,-y,z'
'x+1/2,y+1/2,z'
'-x+1/2,-y+1/2,-z'
'-x+1/2,y+1/2,-z'
'x+1/2,-y+1/2,z'
loop_
_atom_site_label
_atom_site_type_symbol
_atom_site_fract_x
_atom_site_fract_y
_atom_site_fract_z
_atom_site_occupancy
Al1 Al 0.0000 0.2216 0.0000 1
Al2 Al 0.1556 0.2361 0.6452 1
Ga1 Ga 0.1655 0.5000 0.1540 1
Ni1 Ni 0.0000 0.0000 0.5000 1
# ΔE to the lowest computed polymorph = 22.1 meV per atom
# final energy = -3.96 eV/atom
# total magnetization = 0.00 μB per formula unit
# density = 3.8 g cm⁻³

# Al3Ga3Ni10, relaxed, DFT PBE
data_Al3Ga3Ni10
_cell_length_a 5.0481
_cell_length_b 3.7255
_cell_length_c 10.1061
_cell_angle_alpha 90.00
_cell_angle_beta 95.78
_cell_angle_gamma 90.00
_symmetry_space_group_name_H-M 'P 1 m 1'
_symmetry_Int_Tables_number 6
loop_
_symmetry_equiv_pos_as_xyz
'x,y,z'
'x,-y,z'
loop_
_atom_site_label
_atom_site_type_symbol
_atom_site_fract_x
_atom_site_fract_y
_atom_site_fract_z
_atom_site_occupancy
Al1 Al 0.0000 0.0000 0.0000 1
Al2 Al 0.0003 0.0000 0.4980 1
Al3 Al 0.5608 0.0000 0.2190 1
Ga1 Ga 0.2771 0.5000 0.8607 1
Ga2 Ga 0.2800 0.5000 0.3590 1
Ga3 Ga 0.5613 0.0000 0.7182 1
Ni1 Ni 0.0536 0.0000 0.2455 1
Ni2 Ni 0.0541 0.0000 0.7455 1
Ni3 Ni 0.2792 0.5000 0.6087 1
Ni4 Ni 0.2807 0.5000 0.1097 1
Ni5 Ni 0.5071 0.0000 0.4712 1
Ni6 Ni 0.5065 0.0000 0.9737 1
Ni7 Ni 0.7799 0.5000 0.3585 1
Ni8 Ni 0.7795 0.5000 0.8598 1
Ni9 Ni 0.7807 0.5000 0.1091 1
Ni10 Ni 0.7823 0.5000 0.6077 1
# final energy = -5.36 eV/atom
# total magnetization = 0.00 μB per formula unit
# density = 7.7 g cm⁻³

# Al2GaNi5, relaxed, DFT PBE
data_Al2GaNi5
_cell_length_a 4.1173
_cell_length_b 4.1173
_cell_length_c 11.1341
_cell_angle_alpha 90.00
_cell_angle_beta 90.00
_cell_angle_gamma 90.00
_symmetry_space_group_name_H-M 'I 4/m m m'
_symmetry_Int_Tables_number 139
_symmetry_space_group_name_Hall '-I 4 2'
loop_
_atom_site_label
_atom_site_type_symbol
_atom_site_fract_x
_atom_site_fract_y
_atom_site_fract_z
_atom_site_occupancy
Al1 Al 0.0000 0.0000 0.2435 1
Ga1 Ga 0.0000 0.0000 0.5000 1
Ni1 Ni 0.0000 0.0000 0.0000 1
Ni2 Ni 0.0000 0.5000 0.1254 1
# final energy = -5.39 eV/atom
# total magnetization = 0.00 μB per formula unit
# density = 7.3 g cm⁻³

# AlGa3Ni6, relaxed, DFT PBE
data_AlGa3Ni6
_cell_length_a 6.8859
_cell_length_b 4.1746
_cell_length_c 8.9633
_cell_angle_alpha 90.00
_cell_angle_beta 111.29
_cell_angle_gamma 90.00
_symmetry_space_group_name_H-M 'P 1 21/m 1'
_symmetry_Int_Tables_number 11
loop_
_symmetry_equiv_pos_as_xyz
'x,y,z'
'-x,-y,-z'
'-x,y+1/2,-z'
'x,-y+1/2,z'
loop_
_atom_site_label
_atom_site_type_symbol
_atom_site_fract_x
_atom_site_fract_y
_atom_site_fract_z
_atom_site_occupancy
Al1 Al 0.0465 0.2500 0.4116 1
Ga1 Ga 0.2187 0.2500 0.0175 1
Ga2 Ga 0.3631 0.7500 0.7874 1
Ga3 Ga 0.4639 0.2500 0.6226 1
Ni1 Ni 0.0679 0.7500 0.8771 1
Ni2 Ni 0.1454 0.2500 0.7107 1
Ni3 Ni 0.1546 0.7500 0.1842 1
Ni4 Ni 0.2542 0.7500 0.4894 1
Ni5 Ni 0.3376 0.2500 0.3210 1
Ni6 Ni 0.4582 0.7500 0.0779 1
# final energy = -5.14 eV/atom
# total magnetization = 0.00 μB per formula unit
# density = 8.1 g cm⁻³

# Al3GaNi6, relaxed, DFT PBE
data_Al3GaNi6
_cell_length_a 7.0701
_cell_length_b 4.0424
_cell_length_c 8.6125
_cell_angle_alpha 90.00
_cell_angle_beta 105.60
_cell_angle_gamma 90.00
_symmetry_space_group_name_H-M 'P 1 21/m 1'
_symmetry_Int_Tables_number 11
loop_
_symmetry_equiv_pos_as_xyz
'x,y,z'
'-x,-y,-z'
'-x,y+1/2,-z'
'x,-y+1/2,z'
loop_
_atom_site_label
_atom_site_type_symbol
_atom_site_fract_x
_atom_site_fract_y
_atom_site_fract_z
_atom_site_occupancy
Al1 Al 0.0408 0.2500 0.3948 1
Al2 Al 0.1486 0.7500 0.1999 1
Al3 Al 0.2619 0.2500 0.9962 1
Ga1 Ga 0.4431 0.2500 0.6097 1
Ni1 Ni 0.0483 0.7500 0.9044 1
Ni2 Ni 0.1439 0.2500 0.6989 1
Ni3 Ni 0.2510 0.7500 0.4968 1
Ni4 Ni 0.3486 0.2500 0.3027 1
Ni5 Ni 0.3501 0.7500 0.8032 1
Ni6 Ni 0.4413 0.7500 0.1003 1
# final energy = -5.40 eV/atom
# total magnetization = 0.00 μB per formula unit
# density = 7.0 g cm⁻³

Values for formation enthalpy at 0 K, kJ per mole of atoms, ordered as above
-54.4 -14.4 -45.9 -44.3 -37.8 -48.5